[1]
This record from Alexandria describes a relaxed structure of MoPtCl2. The functional is GGA-PBE.

a = 6.3680 Å, b = 6.3680 Å, c = 6.3680 Å
α = 90.00°, β = 90.00°, γ = 90.00°
With the nearest neighbours (Å) after each atom.
Space group Fm-3m (No. 225)
Asymmetric unit:
Mo: 0.0000 0.0000 0.0000  8 Cl 2.76
Pt: 0.0000 0.0000 0.5000  8 Cl 2.76
Cl: 0.2500 0.2500 0.2500  4 Mo 2.76, 4 Pt 2.76

Results
The spin magnetization is 0.20 μB per atom. The energy above the most stable polymorph in this dataset is 1035 meV per atom. The uncorrected formation energy is 0.80 eV per atom.

[2]
This record from Alexandria describes a relaxed structure of KSm2Gd. The functional is GGA-PBE.

a = 3.6296 Å, b = 3.6296 Å, c = 40.0932 Å
α = 90.00°, β = 90.00°, γ = 120.00°
With the nearest neighbours (Å) after each atom.
Space group R-3m (No. 166, hexagonal axes)
Asymmetric unit:
K: 0.0000 0.0000 0.0000  6 K 3.63, 2 Sm 3.81
Sm: 0.0000 0.0000 0.0952  3 Gd 3.55, 6 Sm 3.63, 1 K 3.81
Gd: 0.0000 0.0000 0.5000  6 Sm 3.55, 6 Gd 3.63

Results
The spin magnetization is 1.74 μB per atom. As for the formation energy: 0.217 eV/atom.

[3]
This record from Alexandria describes a relaxed structure of BiHIr. The functional is GGA-PBE.

a = 5.2460 Å, b = 6.3505 Å, c = 5.9946 Å
α = 90.00°, β = 102.84°, γ = 90.00°
With the nearest neighbours (Å) after each atom.
Space group P2_1 (No. 4)
Asymmetric unit:
Bi: 0.1423 0.0000 0.1507  2 H 2.75-2.88, 4 Ir 2.85-2.97
Bi: 0.2509 0.5308 0.4792  1 H 2.36
H: 0.2840 0.2058 0.6751  2 Ir 1.73-1.76
H: 0.3802 0.5949 0.9896  2 Ir 1.74-1.87
Ir: 0.2866 0.9336 0.6532  1 H 1.73
Ir: 0.3933 0.3252 0.9447  3 H 1.74-1.87

Results
The spin magnetization is 0.00 μB per atom. The calculation puts the total energy at -61.9 eV per cell.

[4]
This record from Alexandria describes a relaxed structure of Sr2VWN5. The functional is GGA-PBE.

a = 3.2340 Å, b = 14.6127 Å, c = 10.9621 Å
α = 90.00°, β = 90.00°, γ = 90.00°
With the nearest neighbours (Å) after each atom.
Space group Cmc2_1 (No. 36)
Asymmetric unit:
Sr: 0.0000 0.1056 0.0000  6 N 2.60-2.78
Sr: 0.0000 0.1331 0.6446  7 N 2.55-2.82
V: 0.0000 0.4422 0.7603  4 N 1.71-1.87
W: 0.0000 0.2132 0.3556  3 N 1.81-2.01
N: 0.0000 0.0420 0.3434  2 V 1.87
N: 0.0000 0.2939 0.9633  2 W 2.01
N: 0.0000 0.3179 0.7189  1 V 1.87
N: 0.0000 0.3350 0.3269  1 W 1.81
N: 0.0000 0.4989 0.6236  1 V 1.71

Results
The spin magnetization is 0.00 μB per atom. The uncorrected formation energy is -0.81 eV per atom.

[5]
This record from Alexandria describes a relaxed structure of Zn2ReP. The functional is GGA-PBE.

a = 3.2721 Å, b = 4.2857 Å, c = 8.4432 Å
α = 90.00°, β = 90.00°, γ = 90.00°
With the nearest neighbours (Å) after each atom.
Space group Cmmm (No. 65)
Asymmetric unit:
Zn: 0.0000 0.0000 0.2501  2 P 2.67, 2 Re 2.67, 4 Zn 2.70
Re: 0.0000 0.5000 0.0000  4 Zn 2.67, 4 Re 2.70
P: 0.0000 0.5000 0.5000  4 Zn 2.67, 4 P 2.70

Results
The spin magnetization is 0.00 μB per atom. As for the formation energy: 0.382 eV/atom.

[6]
This record from Alexandria describes a relaxed structure of LaPt2Rh. The functional is GGA-PBE.

a = 4.0286 Å, b = 4.0286 Å, c = 19.7319 Å
α = 90.00°, β = 90.00°, γ = 90.00°
With the nearest neighbours (Å) after each atom.
Space group I-42d (No. 122)
Asymmetric unit:
La: 0.0000 0.0000 0.0000  4 Rh 2.85, 4 Pt 2.89
Pt: 0.2222 0.2500 0.6250  4 Pt 2.69-3.01, 2 Rh 2.81, 2 La 2.89
Rh: 0.0000 0.0000 0.5000  4 Pt 2.81, 4 La 2.85

Results
The spin magnetization is 0.00 μB per atom. As for the formation energy: -0.443 eV/atom.

[7]
This record from Alexandria describes a relaxed structure of BRu2Pb. The functional is GGA-PBE.

a = 6.1592 Å, b = 6.1592 Å, c = 6.1592 Å
α = 90.00°, β = 90.00°, γ = 90.00°
With the nearest neighbours (Å) after each atom.
Space group Fm-3m (No. 225)
Asymmetric unit:
B: 0.0000 0.0000 0.0000  8 Ru 2.67
Ru: 0.2500 0.2500 0.2500  4 Pb 2.67, 4 B 2.67
Pb: 0.0000 0.0000 0.5000  8 Ru 2.67

Results
The spin magnetization is 0.00 μB per atom. The energy above the most stable polymorph in this dataset is 535 meV per atom. As for the formation energy: 0.871 eV/atom.

[8]
This record from Alexandria describes a relaxed structure of SmZr4PaN8. The functional is GGA-PBE.

a = 6.6296 Å, b = 6.6296 Å, c = 16.4534 Å
α = 90.00°, β = 90.00°, γ = 120.00°
With the nearest neighbours (Å) after each atom.
Space group R3m (No. 160, hexagonal axes)
Asymmetric unit:
Sm: 0.0000 0.0000 0.0000  6 N 2.35-2.43
Zr: 0.0000 0.0000 0.3764  4 N 2.11-2.19
Zr: 0.0008 0.5004 0.4980  6 N 2.23-2.31
Pa: 0.0000 0.0000 0.6155  4 N 2.15-2.33
N: 0.0000 0.0000 0.2433  4 Zr 2.19-2.31
N: 0.0000 0.0000 0.7570  3 Zr 2.27, 1 Pa 2.33
N: 0.0051 0.5025 0.7601  3 Zr 2.11-2.23
N: 0.1772 0.3544 0.5742  1 Pa 2.15, 2 Zr 2.24, 1 Sm 2.35

Results
The spin magnetization is 0.00 μB per atom. The uncorrected formation energy is -1.40 eV per atom.

[9]
This record from Alexandria describes a relaxed structure of PuZnInGe. The functional is GGA-PBE.

a = 6.9870 Å, b = 6.9870 Å, c = 6.9870 Å
α = 90.00°, β = 90.00°, γ = 90.00°
With the nearest neighbours (Å) after each atom.
Space group F-43m (No. 216)
Asymmetric unit:
Pu: 0.0000 0.0000 0.0000  4 Ge 3.03, 4 Zn 3.03
Zn: 0.2500 0.2500 0.2500  4 Pu 3.03, 4 In 3.03
In: 0.0000 0.0000 0.5000  4 Zn 3.03, 4 Ge 3.03
Ge: 0.2500 0.2500 0.7500  4 In 3.03, 4 Pu 3.03

Results
The spin magnetization is 1.34 μB per atom. The energy above the most stable polymorph in this dataset is 118 meV per atom. As for the formation energy: -0.124 eV/atom.

[10]
This record from Alexandria describes a relaxed structure of NbSeBrN2. The functional is GGA-PBE.

a = 4.0147 Å, b = 4.0147 Å, c = 5.7584 Å
α = 90.00°, β = 90.00°, γ = 90.00°
With the nearest neighbours (Å) after each atom.
Space group P4/mmm (No. 123)
Asymmetric unit:
Nb: 0.0000 0.0000 0.0000  4 N 2.01
Se: 0.0000 0.0000 0.5000  4 Br 2.84, 2 Nb 2.88
Br: 0.5000 0.5000 0.5000  4 Se 2.84
N: 0.0000 0.5000 0.0000  2 Nb 2.01

Results
The spin magnetization is 0.17 μB per atom. The energy above the most stable polymorph in this dataset is 0 meV per atom. The uncorrected formation energy is 0.44 eV per atom.

[11]
This record from Alexandria describes a relaxed structure of Re3TeRh. The functional is GGA-PBE.

a = 4.7572 Å, b = 4.7572 Å, c = 4.7572 Å
α = 90.00°, β = 90.00°, γ = 90.00°
With the nearest neighbours (Å) after each atom.
Space group Pm-3m (No. 221)
Asymmetric unit:
Re: 0.0000 0.0000 0.5000  2 Te 2.38
Te: 0.0000 0.0000 0.0000  6 Re 2.38
Rh: 0.5000 0.5000 0.5000  12 Re 3.36

Results
The spin magnetization is 0.18 μB per atom. The uncorrected formation energy is 2.74 eV per atom.

[12]
This record from Alexandria describes a relaxed structure of Na2Li5Bi2. The functional is GGA-PBE.

a = 6.4937 Å, b = 8.1115 Å, c = 9.2561 Å
α = 90.00°, β = 91.15°, γ = 90.00°
With the nearest neighbours (Å) after each atom.
Space group C2 (No. 5)
Asymmetric unit:
Na: 0.0000 0.0000 0.0000  4 Li 3.31-3.52, 4 Bi 3.32-3.66
Na: 0.0000 0.0836 0.5000  10 Li 3.25-3.30
Li: 0.0000 0.6060 0.5000  2 Bi 2.94, 4 Li 3.04-3.06, 2 Na 3.25
Li: 0.1943 0.3683 0.2881  2 Bi 2.75-2.79, 2 Li 3.04-3.07
Li: 0.2240 0.8252 0.2853  2 Bi 2.78-2.79, 2 Li 3.06-3.07
Bi: 0.0794 0.6082 0.8135  5 Li 2.75-2.94

Results
The spin magnetization is 0.00 μB per atom. As for the formation energy: -0.223 eV/atom.